Computed, not measured: a geometry-optimized Pr5Ge2Pb structure at the GGA-PBE level of DFT.

Geometry as CIF:
```
data_Pr5Ge2Pb
_cell_length_a 8.170
_cell_length_b 8.170
_cell_length_c 14.473
_cell_angle_alpha 90.00
_cell_angle_beta 90.00
_cell_angle_gamma 90.00
_symmetry_space_group_name_H-M 'I 4/m c m'
_symmetry_Int_Tables_number 140
_symmetry_space_group_name_Hall '-I 4 2c'
loop_
_atom_site_label
_atom_site_type_symbol
_atom_site_fract_x
_atom_site_fract_y
_atom_site_fract_z
Pr1 Pr 0.000 0.000 0.000
Pr2 Pr 0.163 0.337 0.140
Ge1 Ge 0.138 0.362 0.500
Pb1 Pb 0.000 0.000 0.250
```

Calculated values
DFT total energy	-5.255	eV per atom
density of states at the Fermi level	37.59	states/eV per cell
energy of formation	-63	kJ per mole of atoms

***

Computed, not measured: a geometry-optimized La2Th4H structure at the GGA-PBE level of DFT.

Geometry as CIF:
```
data_La2Th4H
_cell_length_a 4.953
_cell_length_b 4.953
_cell_length_c 17.262
_cell_angle_alpha 90.00
_cell_angle_beta 90.00
_cell_angle_gamma 90.00
_symmetry_space_group_name_H-M 'I 4/m m m'
_symmetry_Int_Tables_number 139
_symmetry_space_group_name_Hall '-I 4 2'
loop_
_atom_site_label
_atom_site_type_symbol
_atom_site_fract_x
_atom_site_fract_y
_atom_site_fract_z
La1 La 0.000 0.000 0.151
Th1 Th 0.000 0.000 0.348
Th2 Th 0.000 0.500 0.000
H1 H 0.000 0.000 0.500
```

Calculated values
DFT total energy	-5.963	eV per atom
density of states at the Fermi level	21.58	states/eV per cell

***

Computed, not measured: a geometry-optimized TaReSCl2 structure at the GGA-PBE level of DFT.

Geometry as CIF:
```
data_TaReSCl2
_cell_length_a 4.913
_cell_length_b 4.913
_cell_length_c 4.814
_cell_angle_alpha 90.00
_cell_angle_beta 90.00
_cell_angle_gamma 90.00
_symmetry_space_group_name_H-M 'P 4/m m m'
_symmetry_Int_Tables_number 123
_symmetry_space_group_name_Hall '-P 4 2'
loop_
_atom_site_label
_atom_site_type_symbol
_atom_site_fract_x
_atom_site_fract_y
_atom_site_fract_z
Ta1 Ta 0.000 0.000 0.000
Re1 Re 0.500 0.500 0.500
S1 S 0.000 0.000 0.500
Cl1 Cl 0.000 0.500 0.000
```

Calculated values
DFT total energy	-5.642	eV per atom
polymorph energy (0 for the lowest one)	0	meV per atom
density of states at the Fermi level	3.30	states/eV per cell
energy relative to the elements, uncorrected	3.91	eV per formula unit

***

Computed, not measured: a geometry-optimized TaTiCl3 structure at the GGA-PBE level of DFT.

Geometry as CIF:
```
data_TaTiCl3
_cell_length_a 4.908
_cell_length_b 4.908
_cell_length_c 4.908
_cell_angle_alpha 90.00
_cell_angle_beta 90.00
_cell_angle_gamma 90.00
_symmetry_space_group_name_H-M 'P m -3 m'
_symmetry_Int_Tables_number 221
_symmetry_space_group_name_Hall '-P 4 2 3'
loop_
_atom_site_label
_atom_site_type_symbol
_atom_site_fract_x
_atom_site_fract_y
_atom_site_fract_z
Ta1 Ta 0.000 0.000 0.000
Ti1 Ti 0.500 0.500 0.500
Cl1 Cl 0.000 0.500 0.500
```

Calculated values
DFT total energy	-4.818	eV per atom
polymorph energy (0 for the lowest one)	50	meV per atom
density of states at the Fermi level	7.06	states/eV per cell
energy relative to the elements, uncorrected	1.20	eV per formula unit

***

Computed, not measured: a geometry-optimized Ba2TaAu structure at the GGA-PBE level of DFT.

Geometry as CIF:
```
data_Ba2TaAu
_cell_length_a 4.5495
_cell_length_b 4.5495
_cell_length_c 27.2242
_cell_angle_alpha 90.00
_cell_angle_beta 90.00
_cell_angle_gamma 120.00
_symmetry_space_group_name_H-M 'R 3 m'
_symmetry_Int_Tables_number 160
_symmetry_space_group_name_Hall 'R 3 -2"'
loop_
_atom_site_label
_atom_site_type_symbol
_atom_site_fract_x
_atom_site_fract_y
_atom_site_fract_z
Ba1 Ba 0.0000 0.0000 0.0000
Ba2 Ba 0.0000 0.0000 0.1810
Ta1 Ta 0.0000 0.0000 0.4236
Au1 Au 0.0000 0.0000 0.7576
```

Calculated values
DFT total energy	-4.534	eV per atom
polymorph energy (0 for the lowest one)	0	meV per atom
density of states at the Fermi level	11.84	states/eV per cell
energy of formation	20	kJ per mole of atoms

***

Computed, not measured: a geometry-optimized Ti2ZnH2 structure at the GGA-PBE level of DFT.

Geometry as CIF:
```
data_Ti2ZnH2
_cell_length_a 2.986
_cell_length_b 2.986
_cell_length_c 11.801
_cell_angle_alpha 90.00
_cell_angle_beta 90.00
_cell_angle_gamma 90.00
_symmetry_space_group_name_H-M 'I 4/m m m'
_symmetry_Int_Tables_number 139
_symmetry_space_group_name_Hall '-I 4 2'
loop_
_atom_site_label
_atom_site_type_symbol
_atom_site_fract_x
_atom_site_fract_y
_atom_site_fract_z
Ti1 Ti 0.000 0.000 0.148
Zn1 Zn 0.000 0.000 0.500
H1 H 0.000 0.500 0.250
```

Calculated values
DFT total energy	-5.106	eV per atom
polymorph energy (0 for the lowest one)	6	meV per atom
density of states at the Fermi level	6.61	states/eV per cell

***

Computed, not measured: a geometry-optimized Sc2ZnAs structure at the GGA-PBE level of DFT.

Geometry as CIF:
```
data_Sc2ZnAs
_cell_length_a 4.429
_cell_length_b 5.126
_cell_length_c 7.163
_cell_angle_alpha 90.00
_cell_angle_beta 90.00
_cell_angle_gamma 90.00
_symmetry_space_group_name_H-M 'C m m 2'
_symmetry_Int_Tables_number 35
loop_
_symmetry_equiv_pos_as_xyz
'x,y,z'
'-x,-y,z'
'-x,y,z'
'x,-y,z'
'x+1/2,y+1/2,z'
'-x+1/2,-y+1/2,z'
'-x+1/2,y+1/2,z'
'x+1/2,-y+1/2,z'
loop_
_atom_site_label
_atom_site_type_symbol
_atom_site_fract_x
_atom_site_fract_y
_atom_site_fract_z
Sc1 Sc 0.000 0.000 0.000
Sc2 Sc 0.000 0.500 0.326
Zn1 Zn 0.000 0.500 0.757
As1 As 0.000 0.000 0.560
```

Calculated values
DFT total energy	-4.960	eV per atom
polymorph energy (0 for the lowest one)	485	meV per atom
density of states at the Fermi level	6.24	states/eV per cell
energy of formation	-30	kJ per mole of atoms

***

Computed, not measured: a geometry-optimized DyHf3Sb2 structure at the GGA-PBE level of DFT.

Geometry as CIF:
```
data_DyHf3Sb2
_cell_length_a 17.528
_cell_length_b 4.013
_cell_length_c 8.988
_cell_angle_alpha 90.00
_cell_angle_beta 113.61
_cell_angle_gamma 90.00
_symmetry_space_group_name_H-M 'C 1 2/m 1'
_symmetry_Int_Tables_number 12
loop_
_symmetry_equiv_pos_as_xyz
'x,y,z'
'-x,-y,-z'
'-x,y,-z'
'x,-y,z'
'x+1/2,y+1/2,z'
'-x+1/2,-y+1/2,-z'
'-x+1/2,y+1/2,-z'
'x+1/2,-y+1/2,z'
loop_
_atom_site_label
_atom_site_type_symbol
_atom_site_fract_x
_atom_site_fract_y
_atom_site_fract_z
Dy1 Dy 0.115 0.000 0.128
Hf1 Hf 0.058 0.000 0.664
Hf2 Hf 0.126 0.500 0.479
Hf3 Hf 0.188 0.500 0.895
Sb1 Sb 0.014 0.500 0.842
Sb2 Sb 0.245 0.000 0.708
```

Calculated values
DFT total energy	-7.553	eV per atom
density of states at the Fermi level	16.83	states/eV per cell
energy relative to the elements, uncorrected	-2.61	eV per formula unit